(1)
Pm8GeP3Se4: optimized geometry, PBE-GGA.

* formation energy from raw total energies: -1.70 eV per atom
* total moment: 0.000 μB/atom

Cell lengths 8.3439, 8.3439, 20.7273 Å; angles 90.00, 90.00, 120.00 degrees
Last column: nearest neighbours and their distance in Å.
Space group R-3m (No. 166, hexagonal axes)
Symmetry-distinct sites (fractional):
Pm: 0.0000 0.0000 0.2434 (multiplicity 6)  3 P 2.89, 3 Se 3.05
Pm: 0.0023 0.5012 0.7553 (multiplicity 18)  2 P 2.89, 1 Ge 2.91, 3 Se 3.02-3.04
Ge: 0.0000 0.0000 0.5000 (multiplicity 3)  6 Pm 2.91
P: 0.0000 0.5000 0.5000 (multiplicity 9)  6 Pm 2.89
Se: 0.0000 0.0000 0.0000 (multiplicity 3)  6 Pm 3.02
Se: 0.0000 0.5000 0.0000 (multiplicity 9)  6 Pm 3.04-3.05

(2)
MnCo2Si: optimized geometry, PBE-GGA.

* formation energy from raw total energies: -0.21 eV per atom
* total moment: 1.056 μB/atom

Cell lengths 5.6120, 5.6120, 5.6120 Å; angles 90.00, 90.00, 90.00 degrees
Last column: nearest neighbours and their distance in Å.
Space group F-43m (No. 216)
Symmetry-distinct sites (fractional):
Mn: 0.0000 0.0000 0.0000 (multiplicity 4)  4 Co 2.43, 4 Si 2.43
Co: 0.0000 0.0000 0.5000 (multiplicity 4)  4 Si 2.43, 4 Co 2.43
Co: 0.2500 0.2500 0.2500 (multiplicity 4)  4 Mn 2.43, 4 Co 2.43
Si: 0.2500 0.2500 0.7500 (multiplicity 4)  4 Mn 2.43, 4 Co 2.43

(3)
KTa3Pd: optimized geometry, PBE-GGA.

* ΔE_f: 808 kJ/mol of formula units
* ΔE to the lowest computed polymorph: 0.000 eV/atom
* total moment: 0.000 μB/atom

Cell lengths 5.0023, 5.0023, 5.0023 Å; angles 90.00, 90.00, 90.00 degrees
Last column: nearest neighbours and their distance in Å.
Space group Pm-3m (No. 221)
Symmetry-distinct sites (fractional):
K: 0.0000 0.0000 0.0000 (multiplicity 1)  12 Ta 3.54
Ta: 0.0000 0.5000 0.5000 (multiplicity 3)  2 Pd 2.50
Pd: 0.5000 0.5000 0.5000 (multiplicity 1)  6 Ta 2.50

(4)
BPW2: optimized geometry, PBE-GGA.

* ΔE_f: 90 kJ/mol of formula units
* ΔE to the lowest computed polymorph: 0.000 eV/atom
* total moment: 0.000 μB/atom

Cell lengths 5.8483, 5.8483, 5.8483 Å; angles 90.00, 90.00, 90.00 degrees
Last column: nearest neighbours and their distance in Å.
Space group Fm-3m (No. 225)
Symmetry-distinct sites (fractional):
B: 0.0000 0.0000 0.0000 (multiplicity 4)  8 W 2.53
P: 0.0000 0.0000 0.5000 (multiplicity 4)  8 W 2.53
W: 0.2500 0.2500 0.2500 (multiplicity 8)  4 P 2.53, 4 B 2.53

(5)
CaCeCdPd: optimized geometry, PBE-GGA.

* ΔE_f: -152 kJ/mol of formula units
* total moment: 0.218 μB/atom

Cell lengths 7.3807, 7.3807, 7.3807 Å; angles 90.00, 90.00, 90.00 degrees
Last column: nearest neighbours and their distance in Å.
Space group F-43m (No. 216)
Symmetry-distinct sites (fractional):
Ca: 0.0000 0.0000 0.0000 (multiplicity 4)  4 Cd 3.20, 4 Pd 3.20
Ce: 0.0000 0.0000 0.5000 (multiplicity 4)  4 Pd 3.20, 4 Cd 3.20
Cd: 0.2500 0.2500 0.7500 (multiplicity 4)  4 Ce 3.20, 4 Ca 3.20
Pd: 0.2500 0.2500 0.2500 (multiplicity 4)  4 Ce 3.20, 4 Ca 3.20

(6)
ScCu2SnS: optimized geometry, PBE-GGA.

* formation energy from raw total energies: 1.02 eV per atom
* total moment: 0.000 μB/atom

Cell lengths 4.7635, 4.7635, 5.7901 Å; angles 90.00, 90.00, 90.00 degrees
Last column: nearest neighbours and their distance in Å.
Space group P4/mmm (No. 123)
Symmetry-distinct sites (fractional):
Sc: 0.0000 0.0000 0.0000 (multiplicity 1)  4 Cu 2.38
Cu: 0.0000 0.5000 0.0000 (multiplicity 2)  2 Sc 2.38
Sn: 0.0000 0.0000 0.5000 (multiplicity 1)  2 Sc 2.90
S: 0.5000 0.5000 0.5000 (multiplicity 1)  4 Sn 3.37, 8 Cu 3.75

(7)
Pr2Er8Tm: optimized geometry, PBE-GGA.

* ΔE_f: 171 kJ/mol of formula units
* total moment: 0.000 μB/atom

Cell lengths 9.0082, 15.9300, 5.8618 Å; angles 90.00, 122.77, 90.00 degrees
Last column: nearest neighbours and their distance in Å.
Space group C2/m (No. 12)
Symmetry-distinct sites (fractional):
Pr: 0.0000 0.1937 0.0000 (multiplicity 4)  8 Er 3.33-3.48
Er: 0.0000 0.2927 0.5000 (multiplicity 4)  1 Tm 3.30, 2 Pr 3.33, 6 Er 3.61-3.68
Er: 0.0728 0.0000 0.2979 (multiplicity 4)  4 Er 2.99-3.27
Er: 0.2128 0.3852 0.1709 (multiplicity 8)  3 Er 3.20-3.43, 2 Pr 3.45-3.48
Tm: 0.0000 0.5000 0.5000 (multiplicity 2)  4 Er 3.30-3.36

(8)
TiBeRu2: optimized geometry, PBE-GGA.

* ΔE_f: -177 kJ/mol of formula units
* total moment: 0.000 μB/atom

Cell lengths 2.9900, 2.9900, 5.7703 Å; angles 90.00, 90.00, 90.00 degrees
Last column: nearest neighbours and their distance in Å.
Space group P4/mmm (No. 123)
Symmetry-distinct sites (fractional):
Ti: 0.0000 0.0000 0.0000 (multiplicity 1)  8 Ru 2.63, 2 Be 2.89
Be: 0.0000 0.0000 0.5000 (multiplicity 1)  8 Ru 2.49
Ru: 0.5000 0.5000 0.2718 (multiplicity 2)  4 Be 2.49, 4 Ti 2.63, 1 Ru 2.63

Per-record uncorrected energy, eV/atom: -6.249; -7.414; -6.695; -9.265; -3.904; -3.512; -4.432; -8.002
Per-record DOS(E_F), states/eV per atom: 0.3117; 1.2918; 0.8463; 0.7573; 1.9614; 1.4711; 1.2785; 0.7031